Record 1
The following is a PBE-GGA calculation of a relaxed Ac7Hg2Os2 crystal, from Alexandria.

Calculated values
Calculated formation energy in eV/atom: -0.126
N(E_F) in states/eV/f.u.: 11.3

abc: 12.0691 8.6530 7.6695
angles: 90.00 90.10 90.00
Space group C2/m (No. 12)
Inequivalent atoms, fractional coordinates:
Ac 0.0000 0.0000 0.0000 x2
Ac 0.0004 0.5000 0.2409 x4
Ac 0.2503 0.2499 0.2504 x8
Hg 0.0000 0.1723 0.5000 x4
Os 0.2023 0.5000 0.9999 x4

---

Record 2
The following is a PBE-GGA calculation of a relaxed Zn2TcSe crystal, from Alexandria.

Calculated values
Formation energy without anion corrections in meV/atom: 246
Offset from the most stable computed form in kcal/mol of atoms: 5.03
N(E_F) in states/eV/f.u.: 2.3

abc: 3.8677 3.8677 8.3568
angles: 90.00 90.00 90.00
Space group I-4m2 (No. 119)
Inequivalent atoms, fractional coordinates:
Zn 0.0000 0.0000 0.0000 x2
Zn 0.0000 0.5000 0.2500 x2
Tc 0.0000 0.0000 0.5000 x2
Se 0.0000 0.5000 0.7500 x2

---

Record 3
The following is a PBE-GGA calculation of a relaxed TeIBrO2 crystal, from Alexandria.

Calculated values
Formation energy without anion corrections in meV/atom: 669
Offset from the most stable computed form in kcal/mol of atoms: 19.49
N(E_F) in states/eV/f.u.: 3.4

abc: 4.1365 4.1365 7.4045
angles: 90.00 90.00 90.00
Space group P4/mmm (No. 123)
Inequivalent atoms, fractional coordinates:
Te 0.0000 0.0000 0.0000 x1
I 0.5000 0.5000 0.0000 x1
Br 0.5000 0.5000 0.5000 x1
O 0.0000 0.5000 0.5000 x2

---

Record 4
The following is a PBE-GGA calculation of a relaxed CaNdRh crystal, from Alexandria.

Calculated values
Calculated formation energy in eV/atom: -0.374
Offset from the most stable computed form in kcal/mol of atoms: 1.68
N(E_F) in states/eV/f.u.: 0.8

abc: 4.0728 4.0728 6.5367
angles: 90.00 90.00 120.00
Space group P3m1 (No. 156)
Inequivalent atoms, fractional coordinates:
Ca 0.0000 0.0000 0.0000 x1
Nd 0.3333 0.6667 0.5212 x1
Rh 0.6667 0.3333 0.7463 x1

---

Record 5
The following is a PBE-GGA calculation of a relaxed Dy2Cr2Ni15 crystal, from Alexandria.

Calculated values
Calculated formation energy in eV/atom: -0.196
N(E_F) in states/eV/f.u.: 25.5

abc: 8.2717 8.2717 12.1578
angles: 90.00 90.00 120.00
Space group R-3m (No. 166, hexagonal axes)
Inequivalent atoms, fractional coordinates:
Dy 0.0000 0.0000 0.1593 x6
Cr 0.0000 0.0000 0.4201 x6
Ni 0.0000 0.3036 0.5000 x18
Ni 0.0000 0.5000 0.0000 x9
Ni 0.0026 0.5013 0.3425 x18

---

Record 6
The following is a PBE-GGA calculation of a relaxed IrRhAu2 crystal, from Alexandria.

Calculated values
Calculated formation energy in eV/atom: 0.142
Offset from the most stable computed form in kcal/mol of atoms: 0.00
N(E_F) in states/eV/f.u.: 3.8

abc: 2.8146 2.8146 8.1918
angles: 90.00 90.00 90.00
Space group P4mm (No. 99)
Inequivalent atoms, fractional coordinates:
Ir 0.0000 0.0000 0.0000 x1
Rh 0.5000 0.5000 0.2104 x1
Au 0.0000 0.0000 0.4676 x1
Au 0.5000 0.5000 0.7416 x1

---

Record 7
The following is a PBE-GGA calculation of a relaxed InSn2Pd7 crystal, from Alexandria.

Calculated values
Calculated formation energy in eV/atom: -0.441
Offset from the most stable computed form in kcal/mol of atoms: 0.00
N(E_F) in states/eV/f.u.: 3.3

abc: 4.0862 4.0862 22.0454
angles: 90.00 90.00 90.00
Space group I4/mmm (No. 139)
Inequivalent atoms, fractional coordinates:
In 0.0000 0.0000 0.0000 x2
Sn 0.0000 0.0000 0.3304 x4
Pd 0.0000 0.0000 0.5000 x2
Pd 0.0000 0.5000 0.0902 x8
Pd 0.0000 0.5000 0.2500 x4

---

Record 8
The following is a PBE-GGA calculation of a relaxed ZrAlOs crystal, from Alexandria.

Calculated values
Calculated formation energy in eV/atom: -0.427
N(E_F) in states/eV/f.u.: 2.4

abc: 3.1619 3.1619 10.2887
angles: 90.00 90.00 90.00
Space group I4mm (No. 107)
Inequivalent atoms, fractional coordinates:
Zr 0.0000 0.0000 0.0000 x2
Al 0.0000 0.0000 0.2957 x2
Os 0.0000 0.0000 0.6672 x2

---

Record 9
The following is a PBE-GGA calculation of a relaxed La4Ga2O crystal, from Alexandria.

Calculated values
Formation energy without anion corrections in meV/atom: -1097
Offset from the most stable computed form in kcal/mol of atoms: 0.17
N(E_F) in states/eV/f.u.: 5.4

abc: 6.7337 7.0011 9.1626
angles: 90.00 110.29 90.00
Space group P2_1/m (No. 11)
Inequivalent atoms, fractional coordinates:
La 0.0185 0.0076 0.2687 x4
La 0.4034 0.2500 0.0688 x2
La 0.4403 0.2500 0.6460 x2
Ga 0.1870 0.7500 0.0386 x2
Ga 0.2822 0.7500 0.5800 x2
O 0.2231 0.2500 0.7994 x2

---

Record 10
The following is a PBE-GGA calculation of a relaxed PmThHgPt crystal, from Alexandria.

Calculated values
Calculated formation energy in eV/atom: -0.626
N(E_F) in states/eV/f.u.: 3.5

abc: 7.4161 7.4161 7.4161
angles: 90.00 90.00 90.00
Space group F-43m (No. 216)
Inequivalent atoms, fractional coordinates:
Pm 0.0000 0.0000 0.0000 x4
Th 0.0000 0.0000 0.5000 x4
Hg 0.2500 0.2500 0.7500 x4
Pt 0.2500 0.2500 0.2500 x4

---

Record 11
The following is a PBE-GGA calculation of a relaxed ScAu3 crystal, from Alexandria.

Calculated values
Calculated formation energy in eV/atom: -0.530
N(E_F) in states/eV/f.u.: 2.7

abc: 6.0493 6.0493 9.4523
angles: 90.00 90.00 120.00
Space group P6_3/mmc (No. 194)
Inequivalent atoms, fractional coordinates:
Sc 0.0000 0.0000 0.0000 x2
Sc 0.3333 0.6667 0.2500 x2
Au 0.0000 0.5000 0.0000 x6
Au 0.1650 0.3301 0.7500 x6

---

Record 12
The following is a PBE-GGA calculation of a relaxed Hf3NbCo2N crystal, from Alexandria.

Calculated values
Formation energy without anion corrections in meV/atom: -495
N(E_F) in states/eV/f.u.: 5.9

abc: 4.2243 4.2655 12.6808
angles: 90.00 90.00 90.00
Space group Immm (No. 71)
Inequivalent atoms, fractional coordinates:
Hf 0.0000 0.0000 0.0000 x2
Hf 0.0000 0.5000 0.1849 x4
Nb 0.0000 0.0000 0.5000 x2
Co 0.0000 0.5000 0.3738 x4
N 0.0000 0.5000 0.0000 x2

---

| no. | raw total energy (eV per atom) |
| --- | --- |
| 1 | -4.837 |
| 2 | -3.854 |
| 3 | -2.588 |
| 4 | -5.081 |
| 5 | -6.258 |
| 6 | -5.550 |
| 7 | -5.150 |
| 8 | -8.267 |
| 9 | -5.486 |
| 10 | -5.254 |
| 11 | -4.571 |
| 12 | -9.419 |